Sr2CoCl2O2: optimized geometry, PBE+U.

Raw total energy: -5.32 eV/atom
Fermi-level density of states: 0.00 states/eV/atom

Cell and atoms, written as CIF:
```
data_Sr2CoCl2O2
_chemical_formula_sum 'Sr4 Co2 Cl4 O4'
_space_group_name_H-M_alt 'I 4/m m m'
_space_group_IT_number 139
_space_group_name_Hall '-I 4 2'
_cell_length_a 4.093
_cell_length_b 4.093
_cell_length_c 15.446
_cell_angle_alpha 90.00
_cell_angle_beta 90.00
_cell_angle_gamma 90.00
loop_
_atom_site_label
_atom_site_type_symbol
_atom_site_fract_x
_atom_site_fract_y
_atom_site_fract_z
Sr1 Sr 0.000 0.000 0.107
Co1 Co 0.000 0.000 0.500
Cl1 Cl 0.000 0.000 0.321
O1 O 0.000 0.500 0.000
```